Record 1
Here is a geometry-optimized Ac2AlGePb structure from the Alexandria database. Energies are from GGA-PBE.

```
10
Lattice="7.594 0.000 0.000 0.000 4.618 0.000 -2.611 0.000 9.425" Properties=species:S:1:pos:R:3 pbc="T T T"
Ac 0.545 1.155 3.835
Ac -0.642 1.155 9.265
Ac 5.625 3.464 0.160
Ac 4.438 3.464 5.590
Al 2.940 3.464 2.470
Al 2.043 1.155 6.956
Ge 0.657 3.464 1.656
Ge 4.326 1.155 7.769
Pb 0.430 3.464 6.604
Pb 4.553 1.155 2.822
```

Values from the calculation:
ΔE_f: -0.51 eV per atom
E_tot: -4.56 eV/atom
Space-group type: P2_1/m (11)


Record 2
Here is a geometry-optimized TaIrPd2 structure from the Alexandria database. Energies are from GGA-PBE.

```
4
Lattice="0.000 3.159 3.159 3.159 0.000 3.159 3.159 3.159 0.000" Properties=species:S:1:pos:R:3 pbc="T T T"
Ta 0.000 0.000 0.000
Ir 3.159 3.159 3.159
Pd 1.579 1.579 1.579
Pd 4.738 4.738 4.738
```

Values from the calculation:
ΔE_f: -0.08 eV per atom
Energy relative to the lowest polymorph listed for this composition: 386 meV/atom
E_tot: -7.86 eV/atom
Space-group type: Fm-3m (225)


Record 3
Here is a geometry-optimized RbNiWSe2 structure from the Alexandria database. Energies are from GGA-PBE.

```
5
Lattice="4.999 0.000 0.000 0.000 4.999 0.000 0.000 0.000 4.804" Properties=species:S:1:pos:R:3 pbc="T T T"
Rb 0.000 0.000 0.000
Ni 2.500 2.500 0.000
W 2.500 2.500 2.402
Se 0.000 2.500 2.402
Se 2.500 0.000 2.402
```

Values from the calculation:
Energy relative to the lowest polymorph listed for this composition: 0 meV/atom
E_tot: -5.29 eV/atom
Space-group type: P4/mmm (123)
Energy relative to the elements, uncorrected: 0.04 eV/atom


Record 4
Here is a geometry-optimized Ti2CoPt3 structure from the Alexandria database. Energies are from GGA-PBE.

```
12
Lattice="-2.614 6.768 2.621 2.614 -6.768 2.621 2.614 6.768 -2.621" Properties=species:S:1:pos:R:3 pbc="T T T"
Ti 1.100 1.715 0.000
Ti 1.100 -1.715 2.621
Ti 1.514 8.483 0.000
Ti 1.514 5.053 2.621
Co 0.000 0.000 1.311
Co 0.000 0.000 3.932
Pt 3.764 2.470 0.000
Pt 2.614 0.000 1.311
Pt 1.151 4.298 0.000
Pt 1.463 2.470 2.621
Pt 0.000 6.768 1.311
Pt -1.151 4.298 2.621
```

Values from the calculation:
ΔE_f: -0.58 eV per atom
E_tot: -7.41 eV/atom
Space-group type: Ibam (72)


Record 5
Here is a geometry-optimized NdHf2Nb structure from the Alexandria database. Energies are from GGA-PBE.

```
4
Lattice="1.591 0.919 11.069 -1.591 0.919 11.069 0.000 -1.838 11.069" Properties=species:S:1:pos:R:3 pbc="T T T"
Nd 0.000 0.000 0.000
Hf 0.000 0.000 3.200
Hf 0.000 0.000 30.007
Nb 0.000 0.000 16.603
```

Values from the calculation:
ΔE_f: 0.35 eV per atom
Energy relative to the lowest polymorph listed for this composition: 210 meV/atom
E_tot: -8.33 eV/atom
Space-group type: R-3m (166)


Record 6
Here is a geometry-optimized CsAgF2 structure from the Alexandria database. Energies are from GGA-PBE.

```
4
Lattice="0.000 3.386 3.386 3.386 0.000 3.386 3.386 3.386 0.000" Properties=species:S:1:pos:R:3 pbc="T T T"
Cs 0.000 0.000 0.000
Ag 3.386 3.386 3.386
F 1.693 1.693 1.693
F 5.079 5.079 5.079
```

Values from the calculation:
Energy relative to the lowest polymorph listed for this composition: 261 meV/atom
E_tot: -3.44 eV/atom
Space-group type: Fm-3m (225)
Energy relative to the elements, uncorrected: -1.58 eV/atom


Record 7
Here is a geometry-optimized YbNi2Sn structure from the Alexandria database. Energies are from GGA-PBE.

```
4
Lattice="0.000 3.238 3.238 3.238 0.000 3.238 3.238 3.238 0.000" Properties=species:S:1:pos:R:3 pbc="T T T"
Yb 0.000 0.000 0.000
Ni 1.619 1.619 1.619
Ni 4.858 4.858 4.858
Sn 3.238 3.238 3.238
```

Values from the calculation:
ΔE_f: -0.31 eV per atom
E_tot: -4.59 eV/atom
Space-group type: Fm-3m (225)


Record 8
Here is a geometry-optimized Th2Al12Co7 structure from the Alexandria database. Energies are from GGA-PBE.

```
21
Lattice="9.526 0.000 0.000 -4.763 8.250 0.000 0.000 0.000 4.025" Properties=species:S:1:pos:R:3 pbc="T T T"
Th 0.000 0.000 0.000
Th 0.000 5.500 2.013
Al -3.397 6.067 2.013
Al -0.296 3.194 0.000
Al -1.850 6.909 0.000
Al 1.208 2.275 2.013
Al 2.838 1.426 0.000
Al 4.616 1.162 2.013
Al 3.461 3.671 2.013
Al 2.145 6.397 0.000
Al 2.189 8.159 2.013
Al 4.579 5.080 0.000
Al 6.873 1.745 0.000
Al 6.212 3.417 2.013
Co -1.229 2.157 2.013
Co -2.420 4.439 0.000
Co -2.281 8.236 2.013
Co 2.129 3.935 0.000
Co 0.291 8.126 0.000
Co 4.763 2.750 0.000
Co 3.510 6.107 2.013
```

Values from the calculation:
ΔE_f: -0.49 eV per atom
E_tot: -5.71 eV/atom
Space-group type: P-6 (174)


Record 9
Here is a geometry-optimized LiLa3Au structure from the Alexandria database. Energies are from GGA-PBE.

```
5
Lattice="5.891 0.000 0.000 0.000 5.891 0.000 0.000 0.000 5.891" Properties=species:S:1:pos:R:3 pbc="T T T"
Li 0.000 0.000 0.000
La 0.000 2.945 2.945
La 2.945 0.000 2.945
La 2.945 2.945 0.000
Au 2.945 2.945 2.945
```

Values from the calculation:
ΔE_f: 0.02 eV per atom
Energy relative to the lowest polymorph listed for this composition: 0 meV/atom
E_tot: -3.97 eV/atom
Space-group type: Pm-3m (221)


Record 10
Here is a geometry-optimized Ca2Al3O6F structure from the Alexandria database. Energies are from GGA-PBE.

```
48
Lattice="7.071 0.000 0.000 -2.404 10.046 0.000 -2.317 -5.027 8.760" Properties=species:S:1:pos:R:3 pbc="T T T"
Ca -0.620 1.949 2.901
Ca -1.664 -1.125 8.492
Ca 1.557 0.056 0.058
Ca 0.670 -1.661 3.547
Ca 1.680 6.680 5.214
Ca 0.793 4.963 8.702
Ca 4.014 6.144 0.268
Ca 2.970 3.069 5.860
Al -2.817 5.350 3.969
Al -0.481 5.748 2.087
Al -0.907 3.919 5.962
Al -1.384 2.069 8.361
Al 0.956 -3.165 6.354
Al 0.496 1.143 6.070
Al 1.854 3.876 2.691
Al 1.394 8.183 2.406
Al 3.734 2.949 0.399
Al 3.257 1.099 2.799
Al 2.831 -0.730 6.673
Al 5.167 -0.331 4.791
O -2.193 6.032 2.458
O -1.962 3.938 4.562
O -2.683 6.680 5.125
O -0.319 6.143 0.377
O -1.998 3.356 7.296
O -0.203 0.188 4.763
O 0.147 4.115 2.271
O 0.320 -2.884 7.987
O -0.357 0.851 7.589
O 0.377 6.906 3.093
O 2.660 -0.484 2.238
O 0.469 2.866 5.699
O 1.881 2.153 3.062
O -0.311 5.503 6.522
O 1.973 -1.888 5.667
O 2.707 4.168 1.171
O 2.029 7.903 0.773
O 2.203 0.904 6.490
O 2.553 4.830 3.998
O 4.348 1.663 1.465
O 2.668 -1.124 8.384
O 5.033 -1.661 3.636
O 4.312 1.081 4.199
O 4.542 -1.013 6.302
F -0.182 -0.231 1.862
F -0.013 1.773 0.358
F 2.363 3.245 8.403
F 2.532 5.249 6.899
```

Values from the calculation:
E_tot: -7.07 eV/atom
Space-group type: P-1 (2)
Energy relative to the elements, uncorrected: -3.16 eV/atom


Record 11
Here is a geometry-optimized YBr3Cl structure from the Alexandria database. Energies are from GGA-PBE.

```
5
Lattice="5.589 0.000 0.000 0.000 5.589 0.000 0.000 0.000 5.589" Properties=species:S:1:pos:R:3 pbc="T T T"
Y 0.000 0.000 0.000
Br 0.000 0.000 2.795
Br 0.000 2.795 0.000
Br 2.795 0.000 0.000
Cl 2.795 2.795 2.795
```

Values from the calculation:
Energy relative to the lowest polymorph listed for this composition: 0 meV/atom
E_tot: -3.82 eV/atom
Space-group type: Pm-3m (221)
Energy relative to the elements, uncorrected: -1.16 eV/atom


Record 12
Here is a geometry-optimized LiPr2ZnAu6 structure from the Alexandria database. Energies are from GGA-PBE.

```
10
Lattice="6.322 -2.739 0.000 6.322 2.739 0.000 -5.971 0.000 6.444" Properties=species:S:1:pos:R:3 pbc="T T T"
Li 0.000 0.000 0.000
Pr -1.532 0.000 5.055
Pr 8.204 0.000 1.389
Zn 3.336 0.000 3.222
Au 4.732 1.369 1.451
Au 0.756 0.000 2.576
Au 1.940 1.369 4.992
Au 4.732 -1.369 1.451
Au 5.917 0.000 3.868
Au 1.940 -1.369 4.992
```

Values from the calculation:
ΔE_f: -0.48 eV per atom
E_tot: -3.72 eV/atom
Space-group type: C2/m (12)


The highest E_tot belongs to which entry? CsAgF2


Look up the E_tot of the fifth one. -8.33 eV/atom


Repeat the eleventh record exactly.
Here is a geometry-optimized YBr3Cl structure from the Alexandria database. Energies are from GGA-PBE.

```
5
Lattice="5.589 0.000 0.000 0.000 5.589 0.000 0.000 0.000 5.589" Properties=species:S:1:pos:R:3 pbc="T T T"
Y 0.000 0.000 0.000
Br 0.000 0.000 2.795
Br 0.000 2.795 0.000
Br 2.795 0.000 0.000
Cl 2.795 2.795 2.795
```

Values from the calculation:
Energy relative to the lowest polymorph listed for this composition: 0 meV/atom
E_tot: -3.82 eV/atom
Space-group type: Pm-3m (221)
Energy relative to the elements, uncorrected: -1.16 eV/atom


Copy entry 6 word for word.
Here is a geometry-optimized CsAgF2 structure from the Alexandria database. Energies are from GGA-PBE.

```
4
Lattice="0.000 3.386 3.386 3.386 0.000 3.386 3.386 3.386 0.000" Properties=species:S:1:pos:R:3 pbc="T T T"
Cs 0.000 0.000 0.000
Ag 3.386 3.386 3.386
F 1.693 1.693 1.693
F 5.079 5.079 5.079
```

Values from the calculation:
Energy relative to the lowest polymorph listed for this composition: 261 meV/atom
E_tot: -3.44 eV/atom
Space-group type: Fm-3m (225)
Energy relative to the elements, uncorrected: -1.58 eV/atom